Record 1
{"formula": "TaS2BrO8", "functional": "PBE-GGA", "state": "relaxed", "e_form_raw_ev_per_atom": -1.32, "spacegroup": "P-3m1, No. 164", "lattice_angstrom": [[-2.090, -1.549, -4.749], [0.672, -3.619, 3.971], [-6.816, 1.493, 2.513]], "species": ["Br", "S", "O", "O", "O", "O", "O", "O", "Ta", "S", "O", "O"], "fractional_positions": [[0.000, 0.000, 0.500], [0.333, 0.667, 0.782], [0.186, 0.372, 0.865], [0.333, 0.667, 0.592], [0.667, 0.333, 0.408], [0.372, 0.186, 0.135], [0.814, 0.186, 0.135], [0.814, 0.628, 0.135], [0.000, 0.000, 0.000], [0.667, 0.333, 0.218], [0.186, 0.814, 0.865], [0.628, 0.814, 0.865]]}



Record 2
{"formula": "NaSrLaGa", "functional": "PBE-GGA", "state": "relaxed", "ef_ev_per_atom": -0.124, "spacegroup": "F-43m, No. 216", "lattice_angstrom": [[5.626, 0.000, 0.000], [2.813, 4.872, 0.000], [2.813, 1.624, 4.593]], "species": ["La", "Na", "Sr", "Ga"], "fractional_positions": [[0.000, 0.000, 0.000], [0.750, 0.750, 0.750], [0.500, 0.500, 0.500], [0.250, 0.250, 0.250]]}



Record 3
{"formula": "SiIr", "functional": "PBE-GGA", "state": "relaxed", "e_form_raw_ev_per_atom": -0.59, "spacegroup": "P-6m2, No. 187", "lattice_angstrom": [[3.576, 0.000, 0.000], [-1.788, 3.097, 0.000], [0.000, 0.000, 2.739]], "species": ["Ir", "Si"], "fractional_positions": [[0.000, 0.000, 0.500], [0.333, 0.667, 0.000]]}



Across the entries above, density of states at the Fermi level takes the values 6.74 3.39 0.84 states/eV per cell, respectively.